A plane-wave DFT calculation with PBE was carried out for a geometry-optimized La2SmNiPt8 structure.

ΔH_f (0 K) = -0.860 eV per atom

a = 9.394 Å, b = 9.394 Å, c = 9.394 Å
α = 33.80°, β = 33.80°, γ = 33.80°
Fractional positions:
La: 0.140 0.140 0.140
La: 0.860 0.860 0.860
Ni: 0.500 0.500 0.500
Pt: 0.586 0.586 0.086
Pt: 0.332 0.332 0.332
Pt: 0.914 0.414 0.414
Pt: 0.414 0.914 0.414
Pt: 0.586 0.086 0.586
Pt: 0.086 0.586 0.586
Pt: 0.668 0.668 0.668
Pt: 0.414 0.414 0.914
Sm: 0.000 0.000 0.000